(1)
PrEuY: optimized geometry, PBE.

Cell: 3.707 3.707 9.106 Å, 90.00 90.00 120.00°
Positions (direct):
Pr 0.000 0.000 0.000
Eu 0.667 0.333 0.349
Y 0.333 0.667 0.686

energy	-21.4	eV/cell
energy of formation	0.11	eV/f.u.
offset from the most stable computed form	0	meV per atom

=====

(2)
Li3CuO2: optimized geometry, PBE.

Cell: 5.871 5.871 5.871 Å, 132.33 72.73 128.56°
Positions (direct):
Li 0.008 0.750 0.258
Li 0.250 0.250 0.000
Li 0.492 0.750 0.742
Li 0.508 0.250 0.258
Li 0.750 0.750 0.000
Li 0.992 0.250 0.742
Cu 0.000 0.500 0.500
Cu 0.500 0.000 0.500
O 0.138 0.218 0.356
O 0.362 0.718 0.080
O 0.638 0.282 0.920
O 0.862 0.782 0.644

ΔE_f (raw)	-1496.0	meV/atom
energy	-57.5	eV/cell
offset from the most stable computed form	0	meV per atom

=====

(3)
Pr3HoTl3Te8: optimized geometry, PBE.

Cell: 9.054 9.054 9.683 Å, 117.84 117.84 60.03°
Positions (direct):
Pr 0.000 0.000 0.000
Pr 0.000 0.500 0.000
Pr 0.500 0.000 0.000
Ho 0.500 0.500 0.000
Tl 0.000 0.500 0.500
Tl 0.500 0.000 0.500
Tl 0.500 0.500 0.500
Te 0.242 0.242 0.226
Te 0.249 0.735 0.219
Te 0.265 0.265 0.781
Te 0.265 0.751 0.781
Te 0.735 0.249 0.219
Te 0.735 0.735 0.219
Te 0.751 0.265 0.781
Te 0.758 0.758 0.774

ΔE_f (raw)	-1059.3	meV/atom
energy	-67.0	eV/cell

=====

(4)
Ce2GaCu4Ge3: optimized geometry, PBE.

Cell: 4.182 4.182 10.052 Å, 90.00 90.00 90.00°
Positions (direct):
Ce 0.000 0.500 0.245
Ce 0.500 0.000 0.755
Ga 0.000 0.000 0.500
Cu 0.000 0.000 0.000
Cu 0.000 0.500 0.631
Cu 0.500 0.000 0.369
Cu 0.500 0.500 0.000
Ge 0.000 0.500 0.868
Ge 0.500 0.000 0.132
Ge 0.500 0.500 0.500

energy	-50.0	eV/cell
energy of formation	-4.91	eV/f.u.

=====

(5)
CaZrP: optimized geometry, PBE.

Cell: 6.240 6.240 6.240 Å, 146.88 146.88 47.54°
Positions (direct):
Ca 0.000 0.000 0.000
Zr 0.720 0.720 0.000
P 0.293 0.293 0.000

energy	-17.7	eV/cell
energy of formation	-1.77	eV/f.u.

=====

(6)
CuHg2Os: optimized geometry, PBE.

Cell: 3.009 2.789 8.662 Å, 90.00 99.97 90.00°
Positions (direct):
Cu 0.000 0.000 0.000
Hg 0.219 0.000 0.438
Hg 0.377 0.500 0.763
Os 0.594 0.500 0.189

energy	-13.5	eV/cell
energy of formation	2.39	eV/f.u.
offset from the most stable computed form	0	meV per atom

=====

(7)
LiAc2CdO5: optimized geometry, PBE.

Cell: 7.143 7.143 5.603 Å, 90.00 90.00 90.00°
Positions (direct):
Li 0.000 0.500 0.000
Li 0.500 0.000 0.000
Ac 0.170 0.330 0.500
Ac 0.330 0.830 0.500
Ac 0.670 0.170 0.500
Ac 0.830 0.670 0.500
Cd 0.000 0.000 0.000
Cd 0.500 0.500 0.000
O 0.000 0.000 0.500
O 0.142 0.642 0.235
O 0.142 0.642 0.765
O 0.358 0.142 0.235
O 0.358 0.142 0.765
O 0.500 0.500 0.500
O 0.642 0.858 0.235
O 0.642 0.858 0.765
O 0.858 0.358 0.235
O 0.858 0.358 0.765

ΔE_f (raw)	-1996.9	meV/atom
energy	-107.6	eV/cell

=====

(8)
Sm6Tl2Hg: optimized geometry, PBE.

Cell: 9.086 9.086 5.237 Å, 106.63 106.63 48.53°
Positions (direct):
Sm 0.081 0.589 0.335
Sm 0.243 0.757 0.000
Sm 0.411 0.919 0.665
Sm 0.589 0.081 0.335
Sm 0.757 0.243 0.000
Sm 0.919 0.411 0.665
Tl 0.334 0.334 0.834
Tl 0.666 0.666 0.166
Hg 0.000 0.000 0.500

energy	-33.9	eV/cell
energy of formation	-0.53	eV/f.u.
offset from the most stable computed form	217	meV per atom

=====

What are the total magnetic moment values for these records? In order: 2.46, 0.00, 0.00, 0.08, 0.37, 0.00, 0.12, 0.10 μB/atom.